# CeCd6Ga2

A relaxed structure of CeCd6Ga2 (PBE, Alexandria).

- Formation energy from the elements: -0.172 eV/atom
- Total magnetization: 1.08 μB/cell
- Crystal system: tetragonal
- Volume: 198.9 Å³/f.u.

```
9
Lattice="-2.2645 -2.9424 2.3763 -0.6895 -2.4021 -3.6314 8.6364 -5.1955 1.7970" Properties=species:S:1:pos:R:3 pbc="T T T"
Cd 2.0850 -2.6627 -1.3101
Ce 0.0000 0.0000 0.0000
Cd 5.0743 -5.2050 2.4795
Ga -0.4515 -3.2891 -0.4142
Cd 2.8412 -5.2700 0.2709
Cd 1.2975 -2.9329 1.6937
Cd 4.3182 -2.5978 0.8985
Cd 5.8619 -4.9349 -0.5243
Ga 6.1339 -7.2508 0.9560
```

***

# Ce12CdGa6

A relaxed structure of Ce12CdGa6 (PBE, Alexandria).

- Formation energy from the elements: -0.104 eV/atom
- Total magnetization: 10.95 μB/cell
- Crystal system: trigonal
- Volume: 495.1 Å³/f.u.

```
19
Lattice="-1.4884 -7.6993 2.7035 5.0499 3.3741 5.6495 -7.2008 4.0391 0.7989" Properties=species:S:1:pos:R:3 pbc="T T T"
Ga -1.6930 -3.0416 3.8588
Ce -2.6702 -1.0137 1.7611
Ga 0.8150 1.2061 4.9889
Ce 3.0339 -0.4065 6.4977
Ce -0.9050 1.9760 2.5565
Ce -6.6731 0.1204 2.6542
Cd 0.0000 0.0000 0.0000
Ga 0.2450 -1.7472 6.0237
Ce 0.7708 4.2441 5.7431
Ce -0.9690 0.7276 7.3908
Ce 0.6373 -1.1932 3.0707
Ce 0.4435 -4.7936 5.3305
Ga -1.9462 2.7555 5.2931
Ce -4.0827 4.5075 3.8214
Ce -4.4099 -4.5301 3.4088
Ce -4.2765 0.9072 6.0812
Ce -2.7342 -2.2620 6.5954
Ga -4.4542 -1.4921 4.1630
Ga -3.8842 1.4612 3.1282
```

***

# Ce4Cd4Ga

A relaxed structure of Ce4Cd4Ga (PBE, Alexandria).

- Formation energy from the elements: -0.194 eV/atom
- Total magnetization: 4.35 μB/cell
- Crystal system: tetragonal
- Volume: 224.8 Å³/f.u.

```
9
Lattice="4.2283 0.0000 1.2765 2.1141 7.1345 0.6383 0.0521 0.0000 7.4683" Properties=species:S:1:pos:R:3 pbc="T T T"
Cd 3.9390 1.0904 6.0552
Ce 1.1093 1.3894 7.7873
Cd 2.4556 6.0441 3.3279
Ce 5.2853 5.7451 1.5958
Cd 2.4554 1.0911 3.3286
Cd 3.9392 6.0434 6.0545
Ce 1.7387 3.5674 5.7025
Ce 4.6559 3.5671 3.6806
Ga 3.1712 3.5673 0.9574
```

***

# Ce5CdGa2

A relaxed structure of Ce5CdGa2 (PBE, Alexandria).

- Formation energy from the elements: -0.218 eV/atom
- Total magnetization: 6.82 μB/cell
- Crystal system: orthorhombic
- Volume: 211.4 Å³/f.u.

```
16
Lattice="5.1309 0.0000 0.0000 -2.5654 4.8631 0.0000 0.0000 0.0000 16.9477" Properties=species:S:1:pos:R:3 pbc="T T T"
Ga 2.5654 2.5873 1.1678
Ce 0.0000 0.8320 1.8016
Ce 0.0000 4.2641 7.2939
Ce 2.5654 0.5989 9.6538
Ce 0.0000 4.2641 1.1799
Ce 0.0000 0.8320 6.6722
Ce 0.0000 2.3394 12.7107
Cd 0.0000 4.2893 4.2369
Cd 2.5654 0.5737 12.7107
Ce 2.5654 4.0311 15.1460
Ga 2.5654 2.5873 7.3061
Ga 0.0000 2.2758 15.7799
Ce 2.5654 4.0311 10.2755
Ce 2.5654 0.5989 15.7677
Ce 2.5654 2.5236 4.2369
Ga 0.0000 2.2758 9.6416
```

***

# Ce3CdGa2

A relaxed structure of Ce3CdGa2 (PBE, Alexandria).

- Formation energy from the elements: -0.392 eV/atom
- Total magnetization: 0.04 μB/cell
- Crystal system: tetragonal
- Volume: 140.6 Å³/f.u.

```
6
Lattice="3.2170 0.0000 0.0000 0.0000 3.2170 0.0000 0.0000 0.0000 13.5866" Properties=species:S:1:pos:R:3 pbc="T T T"
Cd 1.6085 1.6085 6.7933
Ga 1.6085 1.6085 2.1758
Ga 1.6085 1.6085 11.4108
Ce 0.0000 0.0000 4.3025
Ce 0.0000 0.0000 0.0000
Ce 0.0000 0.0000 9.2841
```

***

# Ce6CdGa

A relaxed structure of Ce6CdGa (PBE, Alexandria).

- Formation energy from the elements: -0.126 eV/atom
- Total magnetization: 4.98 μB/cell
- Crystal system: tetragonal
- Volume: 209.2 Å³/f.u.

```
8
Lattice="-2.5923 -3.2161 -2.2615 3.8483 -1.5210 -2.2482 1.6124 -6.1807 6.9416" Properties=species:S:1:pos:R:3 pbc="T T T"
Ce 1.4342 -5.4589 1.2160
Ce 3.1156 -5.3276 4.0052
Ce -0.1047 -6.1752 3.9986
Ce 2.3451 -2.3741 0.6881
Ga 0.8062 -3.0904 3.4708
Ce 0.6280 -2.3685 -2.2548
Ce -0.8752 -3.2216 0.6815
Cd 0.0000 0.0000 0.0000
```

***

| no. | ρ (g cm⁻³) |
| --- | --- |
| 1 | 7.96 |
| 2 | 7.42 |
| 3 | 7.98 |
| 4 | 7.48 |
| 5 | 7.94 |
| 6 | 8.12 |